Entry 1:
The following is a PBE calculation of a relaxed structure of KAlGa, from Alexandria via LeMat-Bulk.

## Properties
* DFT formation energy: 1 kJ per mole of atoms
* E_tot: -7.85 eV per formula unit
* space group: No. 12

Cell lengths 4.3019, 7.0226, 8.6336 Å; angles 131.95, 104.43, 90.00 degrees
Closest atoms and distances in Å follow each position.
Element x y z (fractional)
Al (0.7007, 0.5193, 0.4014)  3 Ga 2.61-2.65, 2 Al 2.83
Al (0.2993, 0.4807, 0.5986)  3 Ga 2.61-2.65, 2 Al 2.83
Ga (0.9102, 0.7538, 0.8204)  1 Ga 2.58, 3 Al 2.61-2.65
Ga (0.0898, 0.2462, 0.1796)  1 Ga 2.58, 3 Al 2.61-2.65
K (0.6088, 0.8728, 0.2175)  4 Ga 3.54-3.57, 5 Al 3.65-3.83, 1 K 3.79
K (0.3912, 0.1272, 0.7825)  4 Ga 3.54-3.57, 5 Al 3.65-3.83, 1 K 3.79

Entry 2:
The following is a PBE calculation of a relaxed structure of KAl2Ga4, from Alexandria via LeMat-Bulk.

## Properties
* DFT formation energy: -2 kJ per mole of atoms
* E_tot: -20.83 eV per formula unit
* space group: No. 71

Cell lengths 4.3116, 4.3165, 8.7299 Å; angles 104.31, 104.30, 90.00 degrees
Closest atoms and distances in Å follow each position.
Element x y z (fractional)
Ga (0.6709, 0.6709, 0.3418)  1 Al 2.53, 2 Ga 2.61
Ga (0.0806, 0.5806, 0.1612)  3 Ga 2.61-2.64, 2 Al 2.65
Ga (0.9194, 0.4194, 0.8388)  3 Ga 2.61-2.64, 2 Al 2.65
Ga (0.3291, 0.3291, 0.6582)  1 Al 2.53, 2 Ga 2.61
K (0.5000, 0.0000, 0.0000)  12 Ga 3.32-3.53, 4 Al 3.58
Al (0.8254, 0.8254, 0.6508)  3 Ga 2.53-2.65
Al (0.1746, 0.1746, 0.3492)  3 Ga 2.53-2.65

Entry 3:
The following is a PBE calculation of a relaxed structure of KAlGa2, from Alexandria via LeMat-Bulk.

## Properties
* DFT formation energy: -2 kJ per mole of atoms
* E_tot: -10.99 eV per formula unit
* space group: No. 166

Cell lengths 4.3853, 4.3853, 7.0213 Å; angles 71.80, 71.80, 60.00 degrees
Closest atoms and distances in Å follow each position.
Element x y z (fractional)
Ga (0.2890, 0.2890, 0.1329)  3 Al 2.68
Ga (0.7110, 0.7110, 0.8671)  3 Al 2.68
Al (0.0000, 0.0000, 0.0000)  6 Ga 2.68
K (0.5000, 0.5000, 0.5000)  6 Ga 3.49

Entry 4:
The following is a PBE calculation of a relaxed structure of KAl3Ga2, from Alexandria via LeMat-Bulk.

## Properties
* DFT formation energy: -5 kJ per mole of atoms
* E_tot: -18.72 eV per formula unit
* space group: No. 12

Cell lengths 4.1566, 8.5514, 8.2650 Å; angles 110.32, 90.00, 104.07 degrees
Closest atoms and distances in Å follow each position.
Element x y z (fractional)
Al (0.5823, 0.1646, 0.6511)  3 Ga 2.62-2.73, 5 Al 2.79-2.94
Al (0.9549, 0.9098, 0.6169)  3 Ga 2.67-2.70, 7 Al 2.84-2.94
Al (0.0451, 0.0902, 0.3831)  3 Ga 2.67-2.70, 7 Al 2.84-2.94
Al (0.4177, 0.8354, 0.3489)  3 Ga 2.62-2.73, 5 Al 2.79-2.94
Al (0.6756, 0.3511, 0.4286)  4 Ga 2.60-2.81, 1 Al 2.79
Al (0.3244, 0.6489, 0.5714)  4 Ga 2.60-2.81, 1 Al 2.79
K (0.8438, 0.6875, 0.9435)  7 Ga 3.44-3.51, 5 Al 3.63-3.77
K (0.1562, 0.3125, 0.0565)  7 Ga 3.44-3.51, 5 Al 3.63-3.77
Ga (0.1911, 0.3822, 0.6662)  6 Al 2.60-2.81
Ga (0.8089, 0.6178, 0.3338)  6 Al 2.60-2.81
Ga (0.5188, 0.0376, 0.1670)  1 Ga 2.60, 4 Al 2.62-2.72
Ga (0.4812, 0.9624, 0.8330)  1 Ga 2.60, 4 Al 2.62-2.72

Entry 5:
The following is a PBE calculation of a relaxed structure of KAl2Ga2, from Alexandria via LeMat-Bulk.

## Properties
* DFT formation energy: -2 kJ per mole of atoms
* E_tot: -14.75 eV per formula unit
* space group: No. 74

Cell lengths 4.3445, 4.3868, 12.2348 Å; angles 100.33, 100.23, 90.00 degrees
Closest atoms and distances in Å follow each position.
Element x y z (fractional)
Ga (0.6083, 0.8583, 0.2165)  1 Ga 2.70, 4 Al 2.71-2.74
Ga (0.3917, 0.1417, 0.7835)  1 Ga 2.70, 4 Al 2.71-2.74
Ga (0.2776, 0.0276, 0.5552)  3 Ga 2.54-2.70
Ga (0.7224, 0.9724, 0.4448)  3 Ga 2.54-2.70
Al (0.9621, 0.2121, 0.9242)  2 Ga 2.74, 4 Al 2.83-2.87
Al (0.4588, 0.7088, 0.9176)  2 Ga 2.71, 4 Al 2.87-2.93
Al (0.0379, 0.7879, 0.0758)  2 Ga 2.74, 4 Al 2.83-2.87
Al (0.5412, 0.2912, 0.0824)  2 Ga 2.71, 4 Al 2.87-2.93
K (0.1620, 0.4120, 0.3239)  10 Ga 3.34-3.51, 4 Al 3.59-3.67
K (0.8380, 0.5880, 0.6761)  10 Ga 3.34-3.51, 4 Al 3.59-3.67

Entry 6:
The following is a PBE calculation of a relaxed structure of KAl4Ga3, from Alexandria via LeMat-Bulk.

## Properties
* DFT formation energy: -4 kJ per mole of atoms
* E_tot: -25.52 eV per formula unit
* space group: No. 123

Cell lengths 4.4917, 4.4917, 8.3226 Å; angles 90.00, 90.00, 90.00 degrees
Closest atoms and distances in Å follow each position.
Element x y z (fractional)
Ga (0.0000, 0.0000, 0.0000)  8 Al 2.68
Ga (0.5000, 0.5000, 0.3435)  1 Ga 2.60, 4 Al 2.65
Ga (0.5000, 0.5000, 0.6565)  1 Ga 2.60, 4 Al 2.65
Al (0.5000, 0.0000, 0.1752)  4 Ga 2.65-2.68, 1 Al 2.92
Al (0.0000, 0.5000, 0.8248)  4 Ga 2.65-2.68, 1 Al 2.92
Al (0.5000, 0.0000, 0.8248)  4 Ga 2.65-2.68, 1 Al 2.92
Al (0.0000, 0.5000, 0.1752)  4 Ga 2.65-2.68, 1 Al 2.92
K (0.0000, 0.0000, 0.5000)  8 Ga 3.43, 8 Al 3.51

Entry 7:
The following is a PBE calculation of a relaxed structure of KAlGa14, from Alexandria via LeMat-Bulk.

## Properties
* DFT formation energy: -4 kJ per mole of atoms
* E_tot: -47.82 eV per formula unit
* space group: No. 74

Cell lengths 8.0880, 10.4218, 10.4218 Å; angles 71.00, 67.17, 67.17 degrees
Closest atoms and distances in Å follow each position.
Element x y z (fractional)
Ga (0.8486, 0.3772, 0.4570)  6 Ga 2.52-2.70
Ga (0.6514, 0.0430, 0.1228)  6 Ga 2.52-2.70
Ga (0.1514, 0.6228, 0.5430)  6 Ga 2.52-2.70
Ga (0.2212, 0.7785, 0.1094)  6 Ga 2.46-2.72
Ga (0.6028, 0.2304, 0.5639)  6 Ga 2.55-2.72
Ga (0.8972, 0.9361, 0.2696)  6 Ga 2.55-2.72
Ga (0.8314, 0.2077, 0.1295)  6 Ga 2.43-2.68
Ga (0.7212, 0.6094, 0.2785)  6 Ga 2.46-2.72
Ga (0.1630, 0.2013, 0.4727)  4 Ga 2.52-2.60, 2 Al 2.77
Ga (0.8910, 0.7785, 0.1094)  6 Ga 2.46-2.72
Ga (0.6686, 0.3705, 0.2923)  6 Ga 2.43-2.68
Ga (0.6630, 0.9727, 0.7013)  4 Ga 2.52-2.60, 2 Al 2.77
Ga (0.3370, 0.0273, 0.2987)  4 Ga 2.52-2.60, 2 Al 2.77
Ga (0.3972, 0.7696, 0.4361)  6 Ga 2.55-2.72
Ga (0.3910, 0.6094, 0.2785)  6 Ga 2.46-2.72
Ga (0.1828, 0.0430, 0.1228)  6 Ga 2.52-2.70
Ga (0.3486, 0.9570, 0.8772)  6 Ga 2.52-2.70
Ga (0.1090, 0.2215, 0.8906)  6 Ga 2.46-2.72
Ga (0.3314, 0.6295, 0.7077)  6 Ga 2.43-2.68
Ga (0.6090, 0.3906, 0.7215)  6 Ga 2.46-2.72
Ga (0.3172, 0.3772, 0.4570)  6 Ga 2.52-2.70
Ga (0.6828, 0.6228, 0.5430)  6 Ga 2.52-2.70
Ga (0.2788, 0.3906, 0.7215)  6 Ga 2.46-2.72
Ga (0.8172, 0.9570, 0.8772)  6 Ga 2.52-2.70
Ga (0.1686, 0.7923, 0.8705)  6 Ga 2.43-2.68
Ga (0.1028, 0.0639, 0.7304)  6 Ga 2.55-2.72
Ga (0.7788, 0.2215, 0.8906)  6 Ga 2.46-2.72
Ga (0.8370, 0.7987, 0.5273)  4 Ga 2.52-2.60, 2 Al 2.77
K (0.7500, 0.6004, 0.8996)  16 Ga 3.69-3.97
K (0.2500, 0.3996, 0.1004)  16 Ga 3.69-3.97
Al (0.0000, 0.0000, 0.5000)  4 Ga 2.77
Al (0.5000, 0.0000, 0.5000)  4 Ga 2.77

Entry 8:
The following is a PBE calculation of a relaxed structure of KAlGa2, from Alexandria via LeMat-Bulk.

## Properties
* DFT formation energy: 12 kJ per mole of atoms
* E_tot: -10.41 eV per formula unit
* space group: No. 141

Cell lengths 5.3501, 5.3501, 9.4914 Å; angles 73.63, 73.63, 90.00 degrees
Closest atoms and distances in Å follow each position.
Element x y z (fractional)
Ga (0.3753, 0.6250, 0.2500)  2 Al 2.55, 2 Ga 2.68
Ga (0.3747, 0.1250, 0.2500)  2 Al 2.55, 2 Ga 2.68
Ga (0.3750, 0.6253, 0.7500)  2 Al 2.55, 2 Ga 2.68
Ga (0.8750, 0.6247, 0.7500)  2 Al 2.55, 2 Ga 2.68
K (0.0000, 0.0000, 0.0000)  8 Ga 3.70, 4 Al 3.78
K (0.7500, 0.2500, 0.5000)  8 Ga 3.70, 4 Al 3.78
Al (0.5000, 0.5000, 0.0000)  4 Ga 2.55
Al (0.2500, 0.7500, 0.5000)  4 Ga 2.55

One value per record, in order, for magnetization: 0.00; 0.00; 0.00; 0.00; 0.00; 0.00; 0.00; 0.00 μB per formula unit.